(1)
# TiCoO2F GGA-PBEsol relaxed
# total magnetization: 2.1 μB/cell
# electronic total energy: -0.5391 Ry/atom
data_TiCoO2F
_chemical_formula_sum 'Ti1 Co1 O2 F1'
_cell_length_a 3.828
_cell_length_b 3.828
_cell_length_c 3.825
_cell_angle_alpha 90.00
_cell_angle_beta 90.00
_cell_angle_gamma 90.00
_symmetry_space_group_name_H-M 'P 4/m m m'
_symmetry_Int_Tables_number 123
_symmetry_space_group_name_Hall '-P 4 2'
loop_
_atom_site_label
_atom_site_type_symbol
_atom_site_fract_x
_atom_site_fract_y
_atom_site_fract_z
Ti1 Ti 0.000 0.000 0.000
Co1 Co 0.500 0.500 0.500
O1 O 0.000 0.500 0.000
F1 F 0.000 0.000 0.500

---

(2)
# TlCoOF2 GGA-PBEsol relaxed
# total magnetization: 3.0 μB/cell
# electronic total energy: -0.3852 Ry/atom
data_TlCoOF2
_chemical_formula_sum 'Tl1 Co1 O1 F2'
_cell_length_a 4.207
_cell_length_b 4.207
_cell_length_c 3.602
_cell_angle_alpha 90.00
_cell_angle_beta 90.00
_cell_angle_gamma 90.00
_symmetry_space_group_name_H-M 'P 4/m m m'
_symmetry_Int_Tables_number 123
_symmetry_space_group_name_Hall '-P 4 2'
loop_
_atom_site_label
_atom_site_type_symbol
_atom_site_fract_x
_atom_site_fract_y
_atom_site_fract_z
Tl1 Tl 0.000 0.000 0.000
Co1 Co 0.500 0.500 0.500
O1 O 0.500 0.500 0.000
F1 F 0.000 0.500 0.500

---

(3)
# ZnCoOF2 GGA-PBEsol relaxed
# total magnetization: 2.4 μB/cell
# electronic total energy: -0.3479 Ry/atom
data_ZnCoOF2
_chemical_formula_sum 'Zn1 Co1 O1 F2'
_cell_length_a 3.962
_cell_length_b 3.962
_cell_length_c 3.581
_cell_angle_alpha 90.00
_cell_angle_beta 90.00
_cell_angle_gamma 90.00
_symmetry_space_group_name_H-M 'P 4/m m m'
_symmetry_Int_Tables_number 123
_symmetry_space_group_name_Hall '-P 4 2'
loop_
_atom_site_label
_atom_site_type_symbol
_atom_site_fract_x
_atom_site_fract_y
_atom_site_fract_z
Zn1 Zn 0.000 0.000 0.000
Co1 Co 0.500 0.500 0.500
O1 O 0.500 0.500 0.000
F1 F 0.000 0.500 0.500

---

(4)
# CoOsF2 GGA-PBEsol relaxed
# total magnetization: 21.8 μB/cell
# electronic total energy: -0.3878 Ry/atom
data_CoOsF2
_chemical_formula_sum 'Co4 Os4 F8'
_cell_length_a 5.727
_cell_length_b 5.727
_cell_length_c 5.727
_cell_angle_alpha 90.00
_cell_angle_beta 90.00
_cell_angle_gamma 90.00
_symmetry_space_group_name_H-M 'F m -3 m'
_symmetry_Int_Tables_number 225
_symmetry_space_group_name_Hall '-F 4 2 3'
loop_
_atom_site_label
_atom_site_type_symbol
_atom_site_fract_x
_atom_site_fract_y
_atom_site_fract_z
Co1 Co 0.000 0.000 0.000
Os1 Os 0.000 0.000 0.500
F1 F 0.250 0.250 0.250

---

(5)
# CoOsSF2 GGA-PBEsol relaxed
# total magnetization: 2.3 μB/cell
# electronic total energy: -0.4080 Ry/atom
data_CoOsSF2
_chemical_formula_sum 'Co1 Os1 S1 F2'
_cell_length_a 3.950
_cell_length_b 3.950
_cell_length_c 4.662
_cell_angle_alpha 90.00
_cell_angle_beta 90.00
_cell_angle_gamma 90.00
_symmetry_space_group_name_H-M 'P 4/m m m'
_symmetry_Int_Tables_number 123
_symmetry_space_group_name_Hall '-P 4 2'
loop_
_atom_site_label
_atom_site_type_symbol
_atom_site_fract_x
_atom_site_fract_y
_atom_site_fract_z
Co1 Co 0.000 0.000 0.000
Os1 Os 0.500 0.500 0.500
S1 S 0.500 0.500 0.000
F1 F 0.000 0.500 0.500

---

(6)
# CoTeOsF2 GGA-PBEsol relaxed
# total magnetization: 3.0 μB/cell
# electronic total energy: -0.3781 Ry/atom
data_CoTeOsF2
_chemical_formula_sum 'Co1 Te1 Os1 F2'
_cell_length_a 4.060
_cell_length_b 4.060
_cell_length_c 5.119
_cell_angle_alpha 90.00
_cell_angle_beta 90.00
_cell_angle_gamma 90.00
_symmetry_space_group_name_H-M 'P 4/m m m'
_symmetry_Int_Tables_number 123
_symmetry_space_group_name_Hall '-P 4 2'
loop_
_atom_site_label
_atom_site_type_symbol
_atom_site_fract_x
_atom_site_fract_y
_atom_site_fract_z
Co1 Co 0.000 0.000 0.000
Te1 Te 0.500 0.500 0.500
Os1 Os 0.500 0.500 0.000
F1 F 0.000 0.500 0.500

---

(7)
# CoPb2F GGA-PBEsol relaxed
# total magnetization: 2.0 μB/cell
# electronic total energy: -0.3434 Ry/atom
data_CoPb2F
_chemical_formula_sum 'Co4 Pb8 F4'
_cell_length_a 6.540
_cell_length_b 6.540
_cell_length_c 6.540
_cell_angle_alpha 90.00
_cell_angle_beta 90.00
_cell_angle_gamma 90.00
_symmetry_space_group_name_H-M 'F m -3 m'
_symmetry_Int_Tables_number 225
_symmetry_space_group_name_Hall '-F 4 2 3'
loop_
_atom_site_label
_atom_site_type_symbol
_atom_site_fract_x
_atom_site_fract_y
_atom_site_fract_z
Co1 Co 0.000 0.000 0.000
Pb1 Pb 0.250 0.250 0.250
F1 F 0.000 0.000 0.500

---

(8)
# Co2TePbF GGA-PBEsol relaxed
# total magnetization: 3.7 μB/cell
# electronic total energy: -0.3394 Ry/atom
data_Co2TePbF
_chemical_formula_sum 'Co2 Te1 Pb1 F1'
_cell_length_a 4.356
_cell_length_b 4.356
_cell_length_c 4.864
_cell_angle_alpha 90.00
_cell_angle_beta 90.00
_cell_angle_gamma 90.00
_symmetry_space_group_name_H-M 'P 4/m m m'
_symmetry_Int_Tables_number 123
_symmetry_space_group_name_Hall '-P 4 2'
loop_
_atom_site_label
_atom_site_type_symbol
_atom_site_fract_x
_atom_site_fract_y
_atom_site_fract_z
Co1 Co 0.000 0.500 0.000
Te1 Te 0.000 0.000 0.500
Pb1 Pb 0.500 0.500 0.500
F1 F 0.500 0.500 0.000

---

(9)
# CoPtF6 GGA-PBEsol relaxed
# total magnetization: 9.0 μB/cell
# electronic total energy: -0.3513 Ry/atom
data_CoPtF6
_chemical_formula_sum 'Co3 Pt3 F18'
_cell_length_a 4.9817
_cell_length_b 4.9817
_cell_length_c 13.6022
_cell_angle_alpha 90.00
_cell_angle_beta 90.00
_cell_angle_gamma 120.00
_symmetry_space_group_name_H-M 'R -3'
_symmetry_Int_Tables_number 148
_symmetry_space_group_name_Hall '-R 3'
loop_
_atom_site_label
_atom_site_type_symbol
_atom_site_fract_x
_atom_site_fract_y
_atom_site_fract_z
Co1 Co 0.0000 0.0000 0.0000
Pt1 Pt 0.0000 0.0000 0.5000
F1 F 0.0039 0.6458 0.7502

---

(10)
# CoRh3F GGA-PBEsol relaxed
# total magnetization: 5.2 μB/cell
# electronic total energy: -0.4300 Ry/atom
data_CoRh3F
_chemical_formula_sum 'Co1 Rh3 F1'
_cell_length_a 4.110
_cell_length_b 4.110
_cell_length_c 4.110
_cell_angle_alpha 90.00
_cell_angle_beta 90.00
_cell_angle_gamma 90.00
_symmetry_space_group_name_H-M 'P m -3 m'
_symmetry_Int_Tables_number 221
_symmetry_space_group_name_Hall '-P 4 2 3'
loop_
_atom_site_label
_atom_site_type_symbol
_atom_site_fract_x
_atom_site_fract_y
_atom_site_fract_z
Co1 Co 0.000 0.000 0.000
Rh1 Rh 0.000 0.500 0.500
F1 F 0.500 0.500 0.500

---

(11)
# CoRu2F GGA-PBEsol relaxed
# total magnetization: 0.0 μB/cell
# electronic total energy: -0.5240 Ry/atom
data_CoRu2F
_chemical_formula_sum 'Co4 Ru8 F4'
_cell_length_a 5.674
_cell_length_b 5.674
_cell_length_c 5.674
_cell_angle_alpha 90.00
_cell_angle_beta 90.00
_cell_angle_gamma 90.00
_symmetry_space_group_name_H-M 'F m -3 m'
_symmetry_Int_Tables_number 225
_symmetry_space_group_name_Hall '-F 4 2 3'
loop_
_atom_site_label
_atom_site_type_symbol
_atom_site_fract_x
_atom_site_fract_y
_atom_site_fract_z
Co1 Co 0.000 0.000 0.000
Ru1 Ru 0.250 0.250 0.250
F1 F 0.000 0.000 0.500

---

(12)
# CoSb3F GGA-PBEsol relaxed
# total magnetization: 1.6 μB/cell
# energy above the lowest structure with this stoichiometry: 8.76 kcal/mol of atoms
data_CoSb3F
_chemical_formula_sum 'Co1 Sb3 F1'
_cell_length_a 4.745
_cell_length_b 4.745
_cell_length_c 4.745
_cell_angle_alpha 90.00
_cell_angle_beta 90.00
_cell_angle_gamma 90.00
_symmetry_space_group_name_H-M 'P m -3 m'
_symmetry_Int_Tables_number 221
_symmetry_space_group_name_Hall '-P 4 2 3'
loop_
_atom_site_label
_atom_site_type_symbol
_atom_site_fract_x
_atom_site_fract_y
_atom_site_fract_z
Co1 Co 0.000 0.000 0.000
Sb1 Sb 0.000 0.500 0.500
F1 F 0.500 0.500 0.500

---

(13)
# CoSb3F GGA-PBEsol relaxed
# total magnetization: 0.0 μB/cell
# energy above the lowest structure with this stoichiometry: 0.00 kcal/mol of atoms
data_CoSb3F
_chemical_formula_sum 'Co1 Sb3 F1'
_cell_length_a 4.812
_cell_length_b 4.812
_cell_length_c 4.812
_cell_angle_alpha 90.00
_cell_angle_beta 90.00
_cell_angle_gamma 90.00
_symmetry_space_group_name_H-M 'P m -3 m'
_symmetry_Int_Tables_number 221
_symmetry_space_group_name_Hall '-P 4 2 3'
loop_
_atom_site_label
_atom_site_type_symbol
_atom_site_fract_x
_atom_site_fract_y
_atom_site_fract_z
Co1 Co 0.000 0.000 0.000
Sb1 Sb 0.000 0.000 0.500
F1 F 0.500 0.500 0.500

---

(14)
# CoSbF6 GGA-PBEsol relaxed
# total magnetization: 0.3 μB/cell
# electronic total energy: -0.3672 Ry/atom
data_CoSbF6
_chemical_formula_sum 'Co3 Sb3 F18'
_cell_length_a 5.2468
_cell_length_b 5.2468
_cell_length_c 13.8427
_cell_angle_alpha 90.00
_cell_angle_beta 90.00
_cell_angle_gamma 120.00
_symmetry_space_group_name_H-M 'R -3'
_symmetry_Int_Tables_number 148
_symmetry_space_group_name_Hall '-R 3'
loop_
_atom_site_label
_atom_site_type_symbol
_atom_site_fract_x
_atom_site_fract_y
_atom_site_fract_z
Co1 Co 0.0000 0.0000 0.0000
Sb1 Sb 0.0000 0.0000 0.5000
F1 F 0.0301 0.3974 0.7443